{"formula": "MgAlCr2", "functional": "GGA-PBE", "state": "relaxed", "lattice_angstrom": [[2.584, 0.057, 0.000], [-0.551, 2.526, 0.000], [0.000, 0.000, 8.506]], "species": ["Al", "Cr", "Mg", "Cr"], "fractional_positions": [[0.500, 0.500, 0.750], [0.000, 0.000, 0.516], [0.500, 0.500, 0.250], [0.000, 0.000, 0.984]], "mass_density_g_cm3": 4.62, "dos_at_fermi_per_ev_fu": 3.65, "delta_e_f_kj_per_mol_atoms": 27.7}

=====

{"formula": "MgAlCr2", "functional": "GGA-PBE", "state": "relaxed", "lattice_angstrom": [[-0.356, -3.476, 8.383], [0.327, -5.727, 7.042], [2.246, -3.993, 7.843]], "species": ["Mg", "Cr", "Al", "Cr"], "fractional_positions": [[0.250, 0.250, 0.250], [0.496, 0.496, 0.496], [0.750, 0.750, 0.750], [0.004, 0.004, 0.004]], "mass_density_g_cm3": 4.54, "dos_at_fermi_per_ev_fu": 4.07, "delta_e_f_kj_per_mol_atoms": 38.8}

=====

{"formula": "MgAlCr", "functional": "GGA-PBE", "state": "relaxed", "lattice_angstrom": [[6.880, -0.022, 0.019], [6.243, 2.597, -0.020], [0.637, -0.423, 2.585]], "species": ["Mg", "Cr", "Al"], "fractional_positions": [[0.674, 0.674, 0.326], [0.340, 0.340, 0.660], [0.986, 0.986, 0.014]], "de_polymorph_kcal_per_mol_atoms": 1.88, "mass_density_g_cm3": 3.70, "dos_at_fermi_per_ev_fu": 2.48, "delta_e_f_kj_per_mol_atoms": 24.4}